Entry 1:
Entry from Alexandria via LeMat-Bulk: a PBEsol-optimized structure of CrOs2Br (meta-GGA SCAN).

Calculated values
final energy	-44.119	eV per atom
polymorph energy (0 for the lowest one)	399.1	meV per atom
formation energy (no corrections)	1.282	eV/atom

a b c (Å): 4.341 4.341 4.341
angles (deg): 60.00 60.00 60.00
Atoms (fractional coordinates):
Cr  0.000  0.000  0.000
Os  0.250  0.250  0.250
Os  0.750  0.750  0.750
Br  0.500  0.500  0.500

Entry 2:
Entry from Alexandria via LeMat-Bulk: a PBEsol-optimized structure of CrOs2Br (meta-GGA SCAN).

Calculated values
final energy	-44.518	eV per atom
polymorph energy (0 for the lowest one)	0.0	meV per atom
formation energy (no corrections)	0.883	eV/atom

a b c (Å): 2.661 2.661 10.547
angles (deg): 90.00 90.00 116.87
Atoms (fractional coordinates):
Cr  0.000  0.000  0.000
Os  0.500  0.500  0.191
Os  0.500  0.500  0.809
Br  0.000  0.000  0.500

Entry 3:
Entry from Alexandria via LeMat-Bulk: a PBEsol-optimized structure of CrOsBr2 (meta-GGA SCAN).

Calculated values
final energy	-31.166	eV per atom
polymorph energy (0 for the lowest one)	209.8	meV per atom
formation energy (no corrections)	1.130	eV/atom

a b c (Å): 4.544 4.544 4.544
angles (deg): 60.00 60.00 60.00
Atoms (fractional coordinates):
Cr  0.000  0.000  0.000
Os  0.500  0.500  0.500
Br  0.250  0.250  0.250
Br  0.750  0.750  0.750

Entry 4:
Entry from Alexandria via LeMat-Bulk: a PBEsol-optimized structure of CrOsBr2 (meta-GGA SCAN).

Calculated values
final energy	-31.376	eV per atom
polymorph energy (0 for the lowest one)	0.0	meV per atom
formation energy (no corrections)	0.920	eV/atom

a b c (Å): 3.037 4.238 5.659
angles (deg): 90.00 90.00 90.00
Atoms (fractional coordinates):
Cr  0.000  0.000  0.000
Os  0.500  0.000  0.500
Br  0.000  0.500  0.500
Br  0.500  0.500  0.000

Entry 5:
Entry from Alexandria via LeMat-Bulk: a PBEsol-optimized structure of CrOs2Br (meta-GGA SCAN).

Calculated values
final energy	-44.145	eV per atom
polymorph energy (0 for the lowest one)	372.9	meV per atom
formation energy (no corrections)	1.256	eV/atom

a b c (Å): 4.496 4.496 2.884
angles (deg): 90.00 90.00 98.34
Atoms (fractional coordinates):
Cr  0.000  0.000  0.000
Os  0.000  0.500  0.500
Os  0.500  0.000  0.500
Br  0.500  0.500  0.000

Entry 6:
Entry from Alexandria via LeMat-Bulk: a PBEsol-optimized structure of Cr2OsBr (meta-GGA SCAN).

Calculated values
final energy	-31.153	eV per atom
polymorph energy (0 for the lowest one)	146.1	meV per atom
formation energy (no corrections)	0.874	eV/atom

a b c (Å): 2.707 2.707 9.009
angles (deg): 90.00 90.00 115.69
Atoms (fractional coordinates):
Cr  0.000  0.000  0.000
Cr  0.500  0.500  0.193
Os  0.500  0.500  0.777
Br  0.000  0.000  0.431

Entry 7:
Entry from Alexandria via LeMat-Bulk: a PBEsol-optimized structure of Cr2OsBr (meta-GGA SCAN).

Calculated values
final energy	-31.255	eV per atom
polymorph energy (0 for the lowest one)	44.3	meV per atom
formation energy (no corrections)	0.772	eV/atom

a b c (Å): 4.495 4.495 2.886
angles (deg): 90.00 90.00 105.10
Atoms (fractional coordinates):
Cr  0.000  0.500  0.000
Cr  0.500  0.000  0.000
Os  0.000  0.000  0.500
Br  0.500  0.500  0.500

Entry 8:
Entry from Alexandria via LeMat-Bulk: a PBEsol-optimized structure of CrPOs2Br (meta-GGA SCAN).

Calculated values
final energy	-37.210	eV per atom
formation energy (no corrections)	1.190	eV/atom

a b c (Å): 4.318 4.318 5.298
angles (deg): 90.00 90.00 90.00
Atoms (fractional coordinates):
Cr  0.000  0.000  0.000
P  0.500  0.500  0.500
Os  0.000  0.500  0.500
Os  0.500  0.000  0.500
Br  0.500  0.500  0.000

Entry 9:
Entry from Alexandria via LeMat-Bulk: a PBEsol-optimized structure of Cr2PBr (meta-GGA SCAN).

Calculated values
final energy	-16.386	eV per atom
polymorph energy (0 for the lowest one)	235.2	meV per atom
formation energy (no corrections)	0.271	eV/atom

a b c (Å): 3.011 3.011 6.257
angles (deg): 90.00 90.00 90.00
Atoms (fractional coordinates):
Cr  0.000  0.000  0.173
Cr  0.000  0.000  0.827
P  0.500  0.500  0.000
Br  0.500  0.500  0.500

Entry 10:
Entry from Alexandria via LeMat-Bulk: a PBEsol-optimized structure of Cr2PBr (meta-GGA SCAN).

Calculated values
final energy	-16.515	eV per atom
polymorph energy (0 for the lowest one)	105.7	meV per atom
formation energy (no corrections)	0.142	eV/atom

a b c (Å): 4.511 4.511 3.124
angles (deg): 90.00 90.00 90.00
Atoms (fractional coordinates):
Cr  0.000  0.500  0.000
Cr  0.500  0.000  0.000
P  0.000  0.000  0.500
Br  0.500  0.500  0.500

Entry 11:
Entry from Alexandria via LeMat-Bulk: a PBEsol-optimized structure of CrP2Br (meta-GGA SCAN).

Calculated values
final energy	-14.624	eV per atom
formation energy (no corrections)	0.037	eV/atom

a b c (Å): 4.554 2.977 5.161
angles (deg): 90.00 115.97 90.00
Atoms (fractional coordinates):
Cr  0.000  0.000  0.000
P  0.194  0.500  0.390
P  0.806  0.500  0.610
Br  0.500  0.000  0.000

Entry 12:
Entry from Alexandria via LeMat-Bulk: a PBEsol-optimized structure of Cr4PBr (meta-GGA SCAN).

Calculated values
final energy	-16.257	eV per atom
formation energy (no corrections)	0.976	eV/atom

a b c (Å): 4.770 4.770 4.770
angles (deg): 60.00 60.00 60.00
Atoms (fractional coordinates):
Cr  0.376  0.376  0.376
Cr  0.376  0.376  0.871
Cr  0.376  0.871  0.376
Cr  0.871  0.376  0.376
P  0.000  0.000  0.000
Br  0.750  0.750  0.750

Entry 13:
Entry from Alexandria via LeMat-Bulk: a PBEsol-optimized structure of Cr2PBr (meta-GGA SCAN).

Calculated values
final energy	-16.621	eV per atom
polymorph energy (0 for the lowest one)	0.0	meV per atom
formation energy (no corrections)	0.036	eV/atom

a b c (Å): 4.817 4.817 3.245
angles (deg): 105.09 105.09 89.22
Atoms (fractional coordinates):
Cr  0.000  0.500  0.000
Cr  0.500  0.000  0.000
P  0.000  0.000  0.500
Br  0.500  0.500  0.500

Entry 14:
Entry from Alexandria via LeMat-Bulk: a PBEsol-optimized structure of CrPSeBr2 (meta-GGA SCAN).

Calculated values
final energy	-17.314	eV per atom
formation energy (no corrections)	0.242	eV/atom

a b c (Å): 4.902 4.902 4.922
angles (deg): 90.00 90.00 90.00
Atoms (fractional coordinates):
Cr  0.000  0.000  0.000
P  0.500  0.500  0.500
Se  0.000  0.000  0.500
Br  0.000  0.500  0.000
Br  0.500  0.000  0.000

Entry 15:
Entry from Alexandria via LeMat-Bulk: a PBEsol-optimized structure of TiCrP2Br (meta-GGA SCAN).

Calculated values
final energy	-13.673	eV per atom
formation energy (no corrections)	1.261	eV/atom

a b c (Å): 4.924 4.924 4.512
angles (deg): 90.00 90.00 90.00
Atoms (fractional coordinates):
Ti  0.000  0.000  0.000
Cr  0.500  0.500  0.000
P  0.000  0.500  0.500
P  0.500  0.000  0.500
Br  0.000  0.000  0.500

Entry 16:
Entry from Alexandria via LeMat-Bulk: a PBEsol-optimized structure of Cr2PbBr (meta-GGA SCAN).

Calculated values
final energy	-32.731	eV per atom
formation energy (no corrections)	0.271	eV/atom

a b c (Å): 5.028 5.028 3.249
angles (deg): 92.77 92.77 90.03
Atoms (fractional coordinates):
Cr  0.000  0.500  0.000
Cr  0.500  0.000  0.000
Pb  0.000  0.000  0.500
Br  0.500  0.500  0.500

Entry 17:
Entry from Alexandria via LeMat-Bulk: a PBEsol-optimized structure of CrPbBr (meta-GGA SCAN).

Calculated values
final energy	-37.623	eV per atom
formation energy (no corrections)	0.252	eV/atom

a b c (Å): 4.728 4.728 4.728
angles (deg): 60.00 60.00 60.00
Atoms (fractional coordinates):
Cr  0.000  0.000  0.000
Pb  0.250  0.250  0.250
Br  0.750  0.750  0.750

Entry 18:
Entry from Alexandria via LeMat-Bulk: a PBEsol-optimized structure of CrPb2Br (meta-GGA SCAN).

Calculated values
final energy	-47.162	eV per atom
polymorph energy (0 for the lowest one)	142.6	meV per atom
formation energy (no corrections)	0.189	eV/atom

a b c (Å): 5.734 5.734 5.734
angles (deg): 132.59 132.59 69.30
Atoms (fractional coordinates):
Cr  0.000  0.000  0.000
Pb  0.250  0.750  0.500
Pb  0.750  0.250  0.500
Br  0.500  0.500  0.000

Entry 19:
Entry from Alexandria via LeMat-Bulk: a PBEsol-optimized structure of CrPb2Br (meta-GGA SCAN).

Calculated values
final energy	-47.305	eV per atom
polymorph energy (0 for the lowest one)	0.0	meV per atom
formation energy (no corrections)	0.047	eV/atom

a b c (Å): 3.492 3.492 8.019
angles (deg): 90.00 90.00 90.00
Atoms (fractional coordinates):
Cr  0.000  0.000  0.000
Pb  0.500  0.500  0.220
Pb  0.500  0.500  0.780
Br  0.000  0.000  0.500

Entry 20:
Entry from Alexandria via LeMat-Bulk: a PBEsol-optimized structure of RbCr2PdBr (meta-GGA SCAN).

Calculated values
final energy	-20.470	eV per atom
formation energy (no corrections)	1.479	eV/atom

a b c (Å): 5.729 5.729 5.003
angles (deg): 90.00 90.00 90.00
Atoms (fractional coordinates):
Rb  0.000  0.000  0.000
Cr  0.000  0.500  0.000
Cr  0.500  0.000  0.000
Pd  0.000  0.000  0.500
Br  0.500  0.500  0.500

Entry 21:
Entry from Alexandria via LeMat-Bulk: a PBEsol-optimized structure of CrPt2Br (meta-GGA SCAN).

Calculated values
final energy	-44.440	eV per atom
formation energy (no corrections)	0.118	eV/atom

a b c (Å): 2.743 2.743 8.746
angles (deg): 90.00 90.00 90.00
Atoms (fractional coordinates):
Cr  0.000  0.000  0.000
Pt  0.500  0.500  0.194
Pt  0.500  0.500  0.806
Br  0.000  0.000  0.500

Entry 22:
Entry from Alexandria via LeMat-Bulk: a PBEsol-optimized structure of CrPtBr2 (meta-GGA SCAN).

Calculated values
final energy	-32.086	eV per atom
polymorph energy (0 for the lowest one)	0.0	meV per atom
formation energy (no corrections)	-0.212	eV/atom

a b c (Å): 3.676 3.631 6.712
angles (deg): 90.00 91.79 90.00
Atoms (fractional coordinates):
Cr  0.000  0.000  0.000
Pt  0.495  0.500  0.907
Br  0.220  0.000  0.651
Br  0.766  0.500  0.247

Entry 23:
Entry from Alexandria via LeMat-Bulk: a PBEsol-optimized structure of CrPtBr2 (meta-GGA SCAN).

Calculated values
final energy	-31.863	eV per atom
polymorph energy (0 for the lowest one)	222.9	meV per atom
formation energy (no corrections)	0.011	eV/atom

a b c (Å): 3.117 3.117 8.111
angles (deg): 90.00 90.00 90.00
Atoms (fractional coordinates):
Cr  0.000  0.000  0.000
Pt  0.500  0.500  0.177
Br  0.000  0.000  0.404
Br  0.500  0.500  0.796

Entry 24:
Entry from Alexandria via LeMat-Bulk: a PBEsol-optimized structure of CrPtS2Br (meta-GGA SCAN).

Calculated values
final energy	-25.099	eV per atom
formation energy (no corrections)	0.360	eV/atom

a b c (Å): 4.645 4.645 5.074
angles (deg): 90.00 90.00 90.00
Atoms (fractional coordinates):
Cr  0.000  0.000  0.000
Pt  0.500  0.500  0.500
S  0.000  0.500  0.500
S  0.500  0.000  0.500
Br  0.500  0.500  0.000

Entry 25:
Entry from Alexandria via LeMat-Bulk: a PBEsol-optimized structure of CrSiPt2Br (meta-GGA SCAN).

Calculated values
final energy	-37.362	eV per atom
formation energy (no corrections)	0.287	eV/atom

a b c (Å): 4.437 4.437 5.281
angles (deg): 90.00 90.00 90.00
Atoms (fractional coordinates):
Cr  0.000  0.000  0.000
Si  0.500  0.500  0.500
Pt  0.000  0.500  0.500
Pt  0.500  0.000  0.500
Br  0.500  0.500  0.000

Entry 26:
Entry from Alexandria via LeMat-Bulk: a PBEsol-optimized structure of CrReBr2 (meta-GGA SCAN).

Calculated values
final energy	-31.893	eV per atom
polymorph energy (0 for the lowest one)	0.0	meV per atom
formation energy (no corrections)	0.207	eV/atom

a b c (Å): 9.008 9.008 9.008
angles (deg): 20.69 20.69 20.69
Atoms (fractional coordinates):
Cr  0.000  0.000  0.000
Re  0.279  0.279  0.279
Br  0.534  0.534  0.534
Br  0.736  0.736  0.736

Entry 27:
Entry from Alexandria via LeMat-Bulk: a PBEsol-optimized structure of Cr3ReBr (meta-GGA SCAN).

Calculated values
final energy	-27.323	eV per atom
formation energy (no corrections)	1.819	eV/atom

a b c (Å): 4.205 4.205 4.205
angles (deg): 90.00 90.00 90.00
Atoms (fractional coordinates):
Cr  0.000  0.000  0.500
Cr  0.000  0.500  0.000
Cr  0.500  0.000  0.000
Re  0.500  0.500  0.500
Br  0.000  0.000  0.000

Entry 28:
Entry from Alexandria via LeMat-Bulk: a PBEsol-optimized structure of CrRe2Br (meta-GGA SCAN).

Calculated values
final energy	-43.718	eV per atom
formation energy (no corrections)	1.292	eV/atom

a b c (Å): 4.784 4.784 2.912
angles (deg): 90.00 90.00 116.01
Atoms (fractional coordinates):
Cr  0.000  0.000  0.000
Re  0.000  0.500  0.500
Re  0.500  0.000  0.500
Br  0.500  0.500  0.000

Entry 29:
Entry from Alexandria via LeMat-Bulk: a PBEsol-optimized structure of CrReBr2 (meta-GGA SCAN).

Calculated values
final energy	-30.969	eV per atom
polymorph energy (0 for the lowest one)	923.8	meV per atom
formation energy (no corrections)	1.131	eV/atom

a b c (Å): 8.317 8.317 8.317
angles (deg): 20.86 20.86 20.86
Atoms (fractional coordinates):
Cr  0.000  0.000  0.000
Re  0.500  0.500  0.500
Br  0.256  0.256  0.256
Br  0.744  0.744  0.744

Entry 30:
Entry from Alexandria via LeMat-Bulk: a PBEsol-optimized structure of CrReBr2 (meta-GGA SCAN).

Calculated values
final energy	-30.952	eV per atom
polymorph energy (0 for the lowest one)	940.7	meV per atom
formation energy (no corrections)	1.148	eV/atom

a b c (Å): 4.495 4.495 3.229
angles (deg): 90.00 90.00 90.00
Atoms (fractional coordinates):
Cr  0.000  0.000  0.000
Re  0.500  0.500  0.000
Br  0.000  0.500  0.500
Br  0.500  0.000  0.500